DFT (PBE) results for crystalline NaGa4Ag8 at its relaxed geometry.

Properties
- Fermi-level density of states: 0.244 states/eV/atom
- Calculated formation energy: -0.04 eV/atom
- Space-group type: I4/mmm, No. 139

a b c (Å): 7.195 7.195 7.195
angles (deg): 97.89 97.89 136.51
Fractional positions:
Na  0.000  0.000  0.000
Ga  0.000  0.000  0.500
Ga  0.000  0.500  0.000
Ga  0.500  0.000  0.000
Ga  0.500  0.500  0.500
Ag  0.000  0.348  0.348
Ag  0.000  0.652  0.652
Ag  0.283  0.500  0.783
Ag  0.348  0.000  0.348
Ag  0.500  0.283  0.783
Ag  0.500  0.717  0.217
Ag  0.652  0.000  0.652
Ag  0.717  0.500  0.217